1.
The following is a DFT calculation (GGA-PBE) of a relaxed Mg2MnFe crystal. Values from VASP.

Energy above the most stable polymorph in this dataset (meV/atom): 102.7
SG: P4/mmm (123)
Calculated formation energy (eV/atom): 0.2840
Final energy (hartree per atom): -0.181

Geometry as Quantum ESPRESSO input:
```
&SYSTEM
  ibrav = 0, nat = 4, ntyp = 3
/
ATOMIC_SPECIES
Fe 55.84 Fe.upf
Mg 24.30 Mg.upf
Mn 54.94 Mn.upf
CELL_PARAMETERS angstrom
3.9972 0.0000 0.0000
0.0000 3.9966 0.0000
0.0000 0.0000 3.9432
ATOMIC_POSITIONS angstrom
Fe 0.0000 1.9983 1.9716
Mg 0.0000 0.0000 0.0000
Mg 1.9986 1.9983 0.0000
Mn 1.9986 0.0000 1.9716
```


2.
The following is a DFT calculation (GGA-PBE) of a relaxed CoCu2GeP crystal. Values from VASP.

Energy above the most stable polymorph in this dataset (meV/atom): 0.0
SG: P4/mmm (123)
Calculated formation energy (eV/atom): 0.7576
Final energy (hartree per atom): -0.158

Geometry as Quantum ESPRESSO input:
```
&SYSTEM
  ibrav = 0, nat = 5, ntyp = 4
/
ATOMIC_SPECIES
P 30.97 P.upf
Ge 72.64 Ge.upf
Co 58.93 Co.upf
Cu 63.55 Cu.upf
CELL_PARAMETERS angstrom
4.2018 0.0000 0.0000
0.0000 5.1506 0.0000
0.0000 0.0000 4.2018
ATOMIC_POSITIONS angstrom
P 0.0000 0.0000 0.0000
Ge 0.0000 2.5753 0.0000
Co 2.1009 2.5753 2.1009
Cu 0.0000 0.0000 2.1009
Cu 2.1009 0.0000 0.0000
```